A plane-wave DFT calculation with PBE was carried out for an optimized crystal structure of BeVCl2.

a b c (Å): 5.6420 5.6420 6.2843
angles (deg): 63.33 63.33 90.00
Last column: nearest neighbours and their distance in Å.
Fractional coordinates of all 8 atoms:
Cl1 0.2072 0.6250 0.2500  2 Be 2.09
Cl2 0.3750 0.4572 0.7500  2 Be 2.09
Cl3 0.8750 0.7928 0.7500  2 Be 2.09
Cl4 0.5428 0.1250 0.2500  2 Be 2.09
V1 0.0000 0.0000 0.0000  4 Cl 2.64
V2 0.7500 0.2500 0.5000  4 Cl 2.64
Be1 0.5000 0.5000 0.0000  4 Cl 2.09
Be2 0.2500 0.7500 0.5000  4 Cl 2.09

Computed properties:
As for the total DFT energy (no corrections): -3.984 eV/atom. Its spin magnetization is 9.57 μB/cell. The value obtained for the raw formation energy is 150.5 meV per atom.

***

A plane-wave DFT calculation with PBE was carried out for an optimized crystal structure of TlZnCuF6.

a b c (Å): 4.9843 4.9843 10.1454
angles (deg): 90.00 90.00 90.00
Last column: nearest neighbours and their distance in Å.
Fractional coordinates of all 18 atoms:
Zn1 0.5000 0.5000 0.1649  6 F 2.04-2.12
Zn2 0.0000 0.0000 0.6649  6 F 2.04-2.12
F1 0.2930 0.2930 0.0128  1 Cu 2.07, 1 Zn 2.12
F2 0.2070 0.7930 0.5128  1 Cu 2.07, 1 Zn 2.12
F3 0.2895 0.2895 0.6571  1 Zn 2.04, 1 Cu 2.16
F4 0.6799 0.6799 0.3301  1 Zn 2.10, 1 Cu 2.15, 1 Tl 2.26
F5 0.8201 0.1799 0.8301  1 Zn 2.10, 1 Cu 2.15, 1 Tl 2.26
F6 0.3201 0.3201 0.3301  1 Zn 2.10, 1 Cu 2.15, 1 Tl 2.26
F7 0.7930 0.2070 0.5128  1 Cu 2.07, 1 Zn 2.12
F8 0.7895 0.2105 0.1571  1 Zn 2.04, 1 Cu 2.16
F9 0.7070 0.7070 0.0128  1 Cu 2.07, 1 Zn 2.12
F10 0.7105 0.7105 0.6571  1 Zn 2.04, 1 Cu 2.16
F11 0.1799 0.8201 0.8301  1 Zn 2.10, 1 Cu 2.15, 1 Tl 2.26
F12 0.2105 0.7895 0.1571  1 Zn 2.04, 1 Cu 2.16
Cu1 0.0000 0.0000 0.0019  6 F 2.07-2.16
Cu2 0.5000 0.5000 0.5019  6 F 2.07-2.16
Tl1 0.5000 0.5000 0.8333  6 F 2.26-2.33
Tl2 0.0000 0.0000 0.3333  6 F 2.26-2.33

Computed properties:
As for the total DFT energy (no corrections): -3.927 eV/atom. Its spin magnetization is 0.68 μB/cell. The value obtained for the raw formation energy is -1819.8 meV per atom.

***

A plane-wave DFT calculation with PBE was carried out for an optimized crystal structure of CePm5NdSm2.

a b c (Å): 9.2693 8.1871 8.1871
angles (deg): 90.00 90.00 90.00
Last column: nearest neighbours and their distance in Å.
Fractional coordinates of all 18 atoms:
Pm1 0.7698 0.8009 0.3009  1 Ce 3.14, 1 Sm 3.20
Pm2 0.7698 0.6991 0.8009  1 Ce 3.14, 1 Sm 3.20
Pm3 0.5000 0.5000 0.5000  4 Sm 3.22
Pm4 0.2302 0.6991 0.8009  1 Ce 3.14, 1 Sm 3.20
Pm5 0.2302 0.8009 0.3009  1 Ce 3.14, 1 Sm 3.20
Pm6 0.7698 0.3009 0.1991  1 Ce 3.14, 1 Sm 3.20
Pm7 0.2302 0.1991 0.6991  1 Ce 3.14, 1 Sm 3.20
Pm8 0.7698 0.1991 0.6991  1 Ce 3.14, 1 Sm 3.20
Pm9 0.2302 0.3009 0.1991  1 Ce 3.14, 1 Sm 3.20
Pm10 0.5000 0.0000 0.0000  4 Sm 3.22
Sm1 0.5000 0.3712 0.8712  1 Sm 2.98, 4 Pm 3.20-3.22
Sm2 0.5000 0.6288 0.1288  1 Sm 2.98, 4 Pm 3.20-3.22
Sm3 0.5000 0.1288 0.3712  1 Sm 2.98, 4 Pm 3.20-3.22
Sm4 0.5000 0.8712 0.6288  1 Sm 2.98, 4 Pm 3.20-3.22
Nd1 0.0000 0.5000 0.5000  8 Pm 3.64
Nd2 0.0000 0.0000 0.0000  8 Pm 3.64
Ce1 0.0000 0.0000 0.5000  4 Pm 3.14
Ce2 0.0000 0.5000 0.0000  4 Pm 3.14

Computed properties:
Its formation energy is 0.28 eV/atom. As for the total DFT energy (no corrections): -4.597 eV/atom. Its spin magnetization is 2.77 μB/cell.

***

A plane-wave DFT calculation with PBE was carried out for an optimized crystal structure of La10Ho4Er.

a b c (Å): 7.9278 9.6631 9.6631
angles (deg): 80.31 65.78 65.78
Last column: nearest neighbours and their distance in Å.
Fractional coordinates of all 15 atoms:
Ho1 0.7997 0.6000 0.8007  8 La 3.42
Ho2 0.3996 0.8007 0.4000  8 La 3.42
Ho3 0.2003 0.4000 0.1993  8 La 3.42
Ho4 0.6004 0.1993 0.6000  8 La 3.42
La1 0.9504 0.8994 0.7003  3 Ho 3.42, 1 Er 3.42
La2 0.2500 0.5000 0.5000  4 Ho 3.42
La3 0.6506 0.2997 0.8994  3 Ho 3.42, 1 Er 3.42
La4 0.5501 0.1006 0.2997  3 Ho 3.42, 1 Er 3.42
La5 0.7500 0.5000 0.5000  4 Ho 3.42
La6 0.8498 0.7003 0.1006  3 Ho 3.42, 1 Er 3.42
La7 0.3494 0.7003 0.1006  3 Ho 3.42, 1 Er 3.42
La8 0.0496 0.1006 0.2997  3 Ho 3.42, 1 Er 3.42
La9 0.4499 0.8994 0.7003  3 Ho 3.42, 1 Er 3.42
La10 0.1502 0.2997 0.8994  3 Ho 3.42, 1 Er 3.42
Er1 0.0000 0.0000 0.0000  8 La 3.42

Computed properties:
Its formation energy is 0.63 eV/atom. As for the total DFT energy (no corrections): -4.177 eV/atom. Its spin magnetization is 0.00 μB/cell.

***

A plane-wave DFT calculation with PBE was carried out for an optimized crystal structure of FeBiSeN2.

a b c (Å): 3.8920 3.8920 4.9539
angles (deg): 90.00 90.00 90.00
Last column: nearest neighbours and their distance in Å.
Fractional coordinates of all 5 atoms:
Bi1 0.5000 0.5000 0.5000  4 Se 2.75
Se1 0.0000 0.0000 0.5000  2 Fe 2.48, 4 Bi 2.75
N1 0.5000 0.0000 0.0000  2 Fe 1.95
N2 0.0000 0.5000 0.0000  2 Fe 1.95
Fe1 0.0000 0.0000 0.0000  4 N 1.95

Computed properties:
As for the total DFT energy (no corrections): -5.584 eV/atom. Its spin magnetization is 0.39 μB/cell. The value obtained for the raw formation energy is 911.4 meV per atom.

***

A plane-wave DFT calculation with PBE was carried out for an optimized crystal structure of SiAs2RuBr.

a b c (Å): 4.7538 4.7538 4.8409
angles (deg): 90.00 90.00 90.00
Last column: nearest neighbours and their distance in Å.
Fractional coordinates of all 5 atoms:
As1 0.0000 0.5000 0.0000  2 Si 2.38
As2 0.5000 0.0000 0.0000  2 Si 2.38
Si1 0.0000 0.0000 0.0000  4 As 2.38, 2 Br 2.42
Br1 0.0000 0.0000 0.5000  2 Si 2.42
Ru1 0.5000 0.5000 0.5000  4 Br 3.36, 8 As 3.39

Computed properties:
As for the total DFT energy (no corrections): -3.995 eV/atom. Its spin magnetization is 1.90 μB/cell. The value obtained for the raw formation energy is 1139.6 meV per atom.

***

A plane-wave DFT calculation with PBE was carried out for an optimized crystal structure of Pm3InO6.

a b c (Å): 5.7465 7.4230 7.4230
angles (deg): 102.86 90.00 90.00
Last column: nearest neighbours and their distance in Å.
Fractional coordinates of all 20 atoms:
O1 0.2013 0.3562 0.3241  4 Pm 2.32-2.39
O2 0.6762 0.9720 0.0280  1 In 2.11
O3 0.1942 0.1022 0.5716  1 In 2.10, 1 Pm 2.35
O4 0.1443 0.7813 0.2187  1 In 2.05
O5 0.2013 0.6759 0.6438  4 Pm 2.32-2.39
O6 0.6942 0.5716 0.1022  1 In 2.10, 1 Pm 2.35
O7 0.7013 0.3241 0.3562  4 Pm 2.32-2.39
O8 0.6942 0.8978 0.4284  1 In 2.10, 1 Pm 2.35
O9 0.1762 0.0280 0.9720  1 In 2.11
O10 0.1942 0.4284 0.8978  1 In 2.10, 1 Pm 2.35
O11 0.6443 0.2187 0.7813  1 In 2.05
O12 0.7013 0.6438 0.6759  4 Pm 2.32-2.39
In1 0.4953 0.8138 0.1862  4 O 2.05-2.11
In2 0.9953 0.1862 0.8138  4 O 2.05-2.11
Pm1 0.4257 0.3987 0.6013  7 O 2.38-2.54
Pm2 0.4764 0.3011 0.0893  5 O 2.32-2.48
Pm3 0.9764 0.0893 0.3011  5 O 2.32-2.48
Pm4 0.4764 0.9107 0.6989  5 O 2.32-2.48
Pm5 0.9257 0.6013 0.3987  7 O 2.38-2.54
Pm6 0.9764 0.6989 0.9107  5 O 2.32-2.48

Computed properties:
As for the total DFT energy (no corrections): -7.602 eV/atom. Its spin magnetization is 0.00 μB/cell. The value obtained for the raw formation energy is -2928.0 meV per atom.

***

A plane-wave DFT calculation with PBE was carried out for an optimized crystal structure of K4Na4Hg7.

a b c (Å): 6.8457 12.5986 12.5986
angles (deg): 85.77 74.24 74.24
Last column: nearest neighbours and their distance in Å.
Fractional coordinates of all 30 atoms:
Na1 0.6051 0.5000 0.7898  6 Hg 3.16-3.19, 2 Na 3.42
Na2 0.6051 0.7898 0.5000  6 Hg 3.16-3.19, 2 Na 3.42
Na3 0.8949 0.5000 0.2102  6 Hg 3.16-3.19, 2 Na 3.42
Na4 0.3949 0.5000 0.2102  6 Hg 3.16-3.19, 2 Na 3.42
Na5 0.8949 0.2102 0.5000  6 Hg 3.16-3.19, 2 Na 3.42
Na6 0.1051 0.5000 0.7898  6 Hg 3.16-3.19, 2 Na 3.42
Na7 0.1051 0.7898 0.5000  6 Hg 3.16-3.19, 2 Na 3.42
Na8 0.3949 0.2102 0.5000  6 Hg 3.16-3.19, 2 Na 3.42
Hg1 0.0873 0.4127 0.4127  1 Hg 2.99, 4 Na 3.17
Hg2 0.3009 0.6991 0.6991  4 Na 3.16
Hg3 0.2617 0.0000 0.0000  2 Hg 3.26-3.58
Hg4 0.0000 0.3009 0.6991  4 Na 3.16
Hg5 0.6991 0.3009 0.3009  4 Na 3.16
Hg6 0.0000 0.6991 0.3009  4 Na 3.16
Hg7 0.5000 0.5873 0.4127  1 Hg 2.99, 4 Na 3.17
Hg8 0.7135 0.5730 0.0000  4 Na 3.19
Hg9 0.5000 0.4127 0.5873  1 Hg 2.99, 4 Na 3.17
Hg10 0.2865 0.0000 0.4270  4 Na 3.19
Hg11 0.7135 0.0000 0.5730  4 Na 3.19
Hg12 0.7383 0.0000 0.0000  2 Hg 3.26-3.58
Hg13 0.2865 0.4270 0.0000  4 Na 3.19
Hg14 0.9127 0.5873 0.5873  1 Hg 2.99, 4 Na 3.17
K1 0.6996 0.8004 0.8004  7 Hg 3.65-3.84, 4 Na 4.03
K2 0.8625 0.0000 0.2749  7 Hg 3.61-3.89
K3 0.1375 0.0000 0.7251  7 Hg 3.61-3.89
K4 0.5000 0.8004 0.1996  7 Hg 3.65-3.84, 4 Na 4.03
K5 0.1375 0.7251 0.0000  7 Hg 3.61-3.89
K6 0.5000 0.1996 0.8004  7 Hg 3.65-3.84, 4 Na 4.03
K7 0.3004 0.1996 0.1996  7 Hg 3.65-3.84, 4 Na 4.03
K8 0.8625 0.2749 0.0000  7 Hg 3.61-3.89

Computed properties:
Its formation energy is -0.20 eV/atom. As for the total DFT energy (no corrections): -0.990 eV/atom. Its spin magnetization is 0.00 μB/cell.

***

A plane-wave DFT calculation with PBE was carried out for an optimized crystal structure of ScTaTe.

a b c (Å): 7.1307 6.8815 3.2325
angles (deg): 81.00 72.40 26.60
Last column: nearest neighbours and their distance in Å.
Fractional coordinates of all 3 atoms:
Sc1 0.0008 0.0008 0.9992  2 Ta 2.91, 2 Te 2.94, 4 Sc 3.23
Te1 0.3294 0.3294 0.6706  2 Ta 2.82, 2 Sc 2.94
Ta1 0.6698 0.6698 0.3302  2 Te 2.82, 2 Sc 2.91

Computed properties:
As for the total DFT energy (no corrections): -7.101 eV/atom. Its spin magnetization is 0.00 μB/cell. The value obtained for the raw formation energy is 7.4 meV per atom.

***

A plane-wave DFT calculation with PBE was carried out for an optimized crystal structure of FeMo2Br.

a b c (Å): 5.2562 5.2562 5.2562
angles (deg): 147.50 128.91 61.87
Last column: nearest neighbours and their distance in Å.
Fractional coordinates of all 4 atoms:
Mo1 0.0211 0.0211 0.0000  2 Fe 2.60, 4 Br 2.72
Mo2 0.7301 0.2301 0.5000  2 Br 2.62, 4 Fe 2.71
Fe1 0.2595 0.7595 0.5000  2 Br 2.54, 6 Mo 2.60-2.71
Br1 0.4893 0.4893 0.0000  2 Fe 2.54, 6 Mo 2.62-2.72

Computed properties:
As for the total DFT energy (no corrections): -7.208 eV/atom. Its spin magnetization is 1.21 μB/cell. The value obtained for the raw formation energy is 741.6 meV per atom.

***

no.,density of states at the Fermi level (states/eV/cell)
1,7.97
2,11.28
3,32.01
4,27.24
5,3.67
6,5.39
7,0.00
8,14.20
9,2.36
10,3.44